Record 1
# SrCd2Pb2, relaxed, DFT PBE
data_SrCd2Pb2
_cell_length_a 4.924
_cell_length_b 4.924
_cell_length_c 12.862
_cell_angle_alpha 90.00
_cell_angle_beta 90.00
_cell_angle_gamma 90.00
_space_group_name_H-M_alt 'I 4/m m m'
_space_group_IT_number 139
_space_group_name_Hall '-I 4 2'
loop_
_atom_site_label
_atom_site_type_symbol
_atom_site_fract_x
_atom_site_fract_y
_atom_site_fract_z
Sr1 Sr 0.000 0.000 0.000
Cd1 Cd 0.000 0.000 0.394
Pb1 Pb 0.000 0.500 0.250
# **Volume**: 31.189 Å³ per atom
# **Total DFT energy (no corrections)**: -24.31 eV per cell
# **Calculated formation energy**: -0.245 eV/atom

=====

Record 2
# ZrTeAuO6, relaxed, DFT PBE
data_ZrTeAuO6
_cell_length_a 5.4882
_cell_length_b 5.4882
_cell_length_c 9.4724
_cell_angle_alpha 90.00
_cell_angle_beta 90.00
_cell_angle_gamma 120.00
_space_group_name_H-M_alt 'P -3 1 c'
_space_group_IT_number 163
_space_group_name_Hall '-P 3 2c'
loop_
_atom_site_label
_atom_site_type_symbol
_atom_site_fract_x
_atom_site_fract_y
_atom_site_fract_z
Zr1 Zr 0.3333 0.6667 0.2500
Te1 Te 0.3333 0.6667 0.7500
Au1 Au 0.0000 0.0000 0.0000
O1 O 0.0228 0.3772 0.6375
# **Volume**: 13.727 Å³ per atom
# **Energy relative to the elements, uncorrected**: -1.322 eV per atom
# **Total DFT energy (no corrections)**: -113.22 eV per cell

=====

Record 3
# LiNd3Th2Se6, relaxed, DFT PBE
data_LiNd3Th2Se6
_cell_length_a 7.229
_cell_length_b 12.620
_cell_length_c 7.230
_cell_angle_alpha 90.00
_cell_angle_beta 109.86
_cell_angle_gamma 90.00
_space_group_name_H-M_alt 'C 1 2/m 1'
_space_group_IT_number 12
_space_group_name_Hall '-C 2y'
loop_
_atom_site_label
_atom_site_type_symbol
_atom_site_fract_x
_atom_site_fract_y
_atom_site_fract_z
Li1 Li 0.000 0.000 0.000
Nd1 Nd 0.000 0.170 0.500
Nd2 Nd 0.000 0.500 0.500
Th1 Th 0.000 0.334 0.000
Se1 Se 0.238 0.000 0.760
Se2 Se 0.238 0.160 0.238
# **Volume**: 25.848 Å³ per atom
# **Energy relative to the elements, uncorrected**: -1.687 eV per atom
# **Total DFT energy (no corrections)**: -144.41 eV per cell

=====

Record 4
# TiGeAsBr2, relaxed, DFT PBE
data_TiGeAsBr2
_cell_length_a 5.140
_cell_length_b 5.140
_cell_length_c 5.204
_cell_angle_alpha 90.00
_cell_angle_beta 90.00
_cell_angle_gamma 90.00
_space_group_name_H-M_alt 'P 4/m m m'
_space_group_IT_number 123
_space_group_name_Hall '-P 4 2'
loop_
_atom_site_label
_atom_site_type_symbol
_atom_site_fract_x
_atom_site_fract_y
_atom_site_fract_z
Ti1 Ti 0.000 0.000 0.000
Ge1 Ge 0.500 0.500 0.500
As1 As 0.500 0.500 0.000
Br1 Br 0.000 0.500 0.500
# **Volume**: 27.503 Å³ per atom
# **Energy relative to the elements, uncorrected**: 0.473 eV per atom
# **Total DFT energy (no corrections)**: -18.14 eV per cell
# **E above lowest polymorph**: 11.66 kcal/mol of atoms

=====

Record 5
# Nb2Tl2RhS6, relaxed, DFT PBE
data_Nb2Tl2RhS6
_cell_length_a 5.758
_cell_length_b 10.562
_cell_length_c 8.584
_cell_angle_alpha 90.00
_cell_angle_beta 98.63
_cell_angle_gamma 90.00
_space_group_name_H-M_alt 'C 1 2/m 1'
_space_group_IT_number 12
_space_group_name_Hall '-C 2y'
loop_
_atom_site_label
_atom_site_type_symbol
_atom_site_fract_x
_atom_site_fract_y
_atom_site_fract_z
Nb1 Nb 0.000 0.139 0.000
Tl1 Tl 0.000 0.336 0.500
Rh1 Rh 0.000 0.500 0.000
S1 S 0.192 0.331 0.164
S2 S 0.228 0.000 0.194
# **Volume**: 23.460 Å³ per atom
# **Energy relative to the elements, uncorrected**: -0.672 eV per atom
# **Total DFT energy (no corrections)**: -128.75 eV per cell

=====

Record 6
# BePPt2, relaxed, DFT PBE
data_BePPt2
_cell_length_a 2.8551
_cell_length_b 2.8551
_cell_length_c 23.1307
_cell_angle_alpha 90.00
_cell_angle_beta 90.00
_cell_angle_gamma 120.00
_space_group_name_H-M_alt 'R -3 m'
_space_group_IT_number 166
_space_group_name_Hall '-R 3 2"'
loop_
_atom_site_label
_atom_site_type_symbol
_atom_site_fract_x
_atom_site_fract_y
_atom_site_fract_z
Be1 Be 0.0000 0.0000 0.0000
P1 P 0.0000 0.0000 0.5000
Pt1 Pt 0.0000 0.0000 0.2555
# **Volume**: 13.607 Å³ per atom
# **Total DFT energy (no corrections)**: -66.09 eV per cell
# **E above lowest polymorph**: 6.20 kcal/mol of atoms
# **Calculated formation energy**: -0.203 eV/atom

=====

Record 7
# SmZnAu2, relaxed, DFT PBE
data_SmZnAu2
_cell_length_a 7.105
_cell_length_b 9.874
_cell_length_c 5.233
_cell_angle_alpha 90.00
_cell_angle_beta 90.00
_cell_angle_gamma 90.00
_space_group_name_H-M_alt 'C m c m'
_space_group_IT_number 63
_space_group_name_Hall '-C 2c 2'
loop_
_atom_site_label
_atom_site_type_symbol
_atom_site_fract_x
_atom_site_fract_y
_atom_site_fract_z
Sm1 Sm 0.000 0.188 0.250
Zn1 Zn 0.000 0.500 0.000
Au1 Au 0.198 0.094 0.750
# **Volume**: 22.948 Å³ per atom
# **Total DFT energy (no corrections)**: -58.39 eV per cell
# **Calculated formation energy**: -0.513 eV/atom

=====

Record 8
# RbSN3, relaxed, DFT PBE
data_RbSN3
_cell_length_a 3.907
_cell_length_b 3.907
_cell_length_c 3.907
_cell_angle_alpha 90.00
_cell_angle_beta 90.00
_cell_angle_gamma 90.00
_space_group_name_H-M_alt 'P m -3 m'
_space_group_IT_number 221
_space_group_name_Hall '-P 4 2 3'
loop_
_atom_site_label
_atom_site_type_symbol
_atom_site_fract_x
_atom_site_fract_y
_atom_site_fract_z
Rb1 Rb 0.000 0.000 0.000
S1 S 0.500 0.500 0.500
N1 N 0.000 0.500 0.500
# **Volume**: 11.931 Å³ per atom
# **Energy relative to the elements, uncorrected**: 1.943 eV per atom
# **Total DFT energy (no corrections)**: -20.36 eV per cell

=====

Record 9
# HfCdMo, relaxed, DFT PBE
data_HfCdMo
_cell_length_a 5.269
_cell_length_b 6.989
_cell_length_c 14.660
_cell_angle_alpha 90.00
_cell_angle_beta 90.00
_cell_angle_gamma 90.00
_space_group_name_H-M_alt 'F m m m'
_space_group_IT_number 69
_space_group_name_Hall '-F 2 2'
loop_
_atom_site_label
_atom_site_type_symbol
_atom_site_fract_x
_atom_site_fract_y
_atom_site_fract_z
Hf1 Hf 0.000 0.000 0.098
Cd1 Cd 0.250 0.250 0.250
Mo1 Mo 0.000 0.170 0.500
# **Volume**: 22.492 Å³ per atom
# **Total DFT energy (no corrections)**: -160.32 eV per cell
# **E above lowest polymorph**: 14.27 kcal/mol of atoms
# **Calculated formation energy**: 0.553 eV/atom

=====

Record 10
# TlRe2Rh, relaxed, DFT PBE
data_TlRe2Rh
_cell_length_a 2.905
_cell_length_b 2.905
_cell_length_c 7.905
_cell_angle_alpha 90.00
_cell_angle_beta 90.00
_cell_angle_gamma 90.00
_space_group_name_H-M_alt 'P 4 m m'
_space_group_IT_number 99
_space_group_name_Hall 'P 4 -2'
loop_
_atom_site_label
_atom_site_type_symbol
_atom_site_fract_x
_atom_site_fract_y
_atom_site_fract_z
Tl1 Tl 0.000 0.000 0.000
Re1 Re 0.000 0.000 0.500
Re2 Re 0.500 0.500 0.289
Rh1 Rh 0.500 0.500 0.731
# **Volume**: 16.673 Å³ per atom
# **Total DFT energy (no corrections)**: -33.31 eV per cell
# **E above lowest polymorph**: 0.00 kcal/mol of atoms
# **Calculated formation energy**: 0.327 eV/atom

=====

Record 11
# ZrV2Zn, relaxed, DFT PBE
data_ZrV2Zn
_cell_length_a 7.187
_cell_length_b 7.187
_cell_length_c 5.285
_cell_angle_alpha 90.00
_cell_angle_beta 90.00
_cell_angle_gamma 90.00
_space_group_name_H-M_alt 'I -4 2 d'
_space_group_IT_number 122
_space_group_name_Hall 'I -4 2bw'
loop_
_atom_site_label
_atom_site_type_symbol
_atom_site_fract_x
_atom_site_fract_y
_atom_site_fract_z
Zr1 Zr 0.000 0.000 0.000
V1 V 0.227 0.250 0.625
Zn1 Zn 0.000 0.000 0.500
# **Volume**: 17.059 Å³ per atom
# **Total DFT energy (no corrections)**: -103.44 eV per cell
# **Calculated formation energy**: 0.550 eV/atom

=====

Record 12
# Pm4Er3PuS8, relaxed, DFT PBE
data_Pm4Er3PuS8
_cell_length_a 7.8958
_cell_length_b 7.8958
_cell_length_c 19.5185
_cell_angle_alpha 90.00
_cell_angle_beta 90.00
_cell_angle_gamma 120.00
_space_group_name_H-M_alt 'R -3 m'
_space_group_IT_number 166
_space_group_name_Hall '-R 3 2"'
loop_
_atom_site_label
_atom_site_type_symbol
_atom_site_fract_x
_atom_site_fract_y
_atom_site_fract_z
Pm1 Pm 0.0000 0.0000 0.0000
Pm2 Pm 0.0000 0.5000 0.0000
Er1 Er 0.0000 0.5000 0.5000
Pu1 Pu 0.0000 0.0000 0.5000
S1 S 0.0000 0.0000 0.2447
S2 S 0.0034 0.5017 0.7544
# **Volume**: 21.956 Å³ per atom
# **Energy relative to the elements, uncorrected**: -1.984 eV per atom
# **Total DFT energy (no corrections)**: -335.37 eV per cell

=====

Record 13
# LaPm7Er12, relaxed, DFT PBE
data_LaPm7Er12
_cell_length_a 11.266
_cell_length_b 11.266
_cell_length_c 11.266
_cell_angle_alpha 90.00
_cell_angle_beta 90.00
_cell_angle_gamma 90.00
_space_group_name_H-M_alt 'I m -3 m'
_space_group_IT_number 229
_space_group_name_Hall '-I 4 2 3'
loop_
_atom_site_label
_atom_site_type_symbol
_atom_site_fract_x
_atom_site_fract_y
_atom_site_fract_z
La1 La 0.000 0.000 0.000
Pm1 Pm 0.000 0.000 0.500
Pm2 Pm 0.250 0.250 0.250
Er1 Er 0.000 0.253 0.253
# **Volume**: 35.751 Å³ per atom
# **Total DFT energy (no corrections)**: -160.15 eV per cell
# **E above lowest polymorph**: 9.52 kcal/mol of atoms
# **Calculated formation energy**: 0.643 eV/atom

=====

Record 14
# HoNbAl4, relaxed, DFT PBE
data_HoNbAl4
_cell_length_a 7.545
_cell_length_b 7.545
_cell_length_c 7.545
_cell_angle_alpha 90.00
_cell_angle_beta 90.00
_cell_angle_gamma 90.00
_space_group_name_H-M_alt 'F -4 3 m'
_space_group_IT_number 216
_space_group_name_Hall 'F -4 2 3'
loop_
_atom_site_label
_atom_site_type_symbol
_atom_site_fract_x
_atom_site_fract_y
_atom_site_fract_z
Ho1 Ho 0.000 0.000 0.000
Nb1 Nb 0.250 0.250 0.250
Al1 Al 0.124 0.124 0.624
# **Volume**: 17.893 Å³ per atom
# **Total DFT energy (no corrections)**: -127.85 eV per cell
# **Calculated formation energy**: -0.391 eV/atom

=====

Record 15
# Tc2RuBr, relaxed, DFT PBE
data_Tc2RuBr
_cell_length_a 2.914
_cell_length_b 4.090
_cell_length_c 5.427
_cell_angle_alpha 90.00
_cell_angle_beta 104.95
_cell_angle_gamma 90.00
_space_group_name_H-M_alt 'P 1 2/m 1'
_space_group_IT_number 10
_space_group_name_Hall '-P 2y'
loop_
_atom_site_label
_atom_site_type_symbol
_atom_site_fract_x
_atom_site_fract_y
_atom_site_fract_z
Tc1 Tc 0.118 0.000 0.232
Ru1 Ru 0.500 0.500 0.000
Br1 Br 0.500 0.500 0.500
# **Volume**: 15.623 Å³ per atom
# **Energy relative to the elements, uncorrected**: 0.738 eV per atom
# **Total DFT energy (no corrections)**: -28.73 eV per cell
# **E above lowest polymorph**: 5.09 kcal/mol of atoms

=====

Record 16
# SmDyEr5Th2, relaxed, DFT PBE
data_SmDyEr5Th2
_cell_length_a 8.726
_cell_length_b 8.726
_cell_length_c 15.367
_cell_angle_alpha 90.00
_cell_angle_beta 90.00
_cell_angle_gamma 90.00
_space_group_name_H-M_alt 'I 4/m c m'
_space_group_IT_number 140
_space_group_name_Hall '-I 4 2c'
loop_
_atom_site_label
_atom_site_type_symbol
_atom_site_fract_x
_atom_site_fract_y
_atom_site_fract_z
Sm1 Sm 0.000 0.500 0.250
Dy1 Dy 0.000 0.000 0.250
Er1 Er 0.000 0.000 0.000
Er2 Er 0.209 0.291 0.140
Th1 Th 0.119 0.381 0.500
# **Volume**: 32.503 Å³ per atom
# **Total DFT energy (no corrections)**: -175.69 eV per cell
# **Calculated formation energy**: 0.339 eV/atom

=====

Record 17
# CoN, relaxed, DFT PBE
data_CoN
_cell_length_a 8.283
_cell_length_b 2.872
_cell_length_c 5.606
_cell_angle_alpha 90.00
_cell_angle_beta 90.00
_cell_angle_gamma 90.00
_space_group_name_H-M_alt 'P m n 21'
_space_group_IT_number 31
_space_group_name_Hall 'P 2ac -2'
loop_
_atom_site_label
_atom_site_type_symbol
_atom_site_fract_x
_atom_site_fract_y
_atom_site_fract_z
Co1 Co 0.000 0.025 0.000
Co2 Co 0.215 0.373 0.738
N1 N 0.000 0.508 0.790
N2 N 0.217 0.130 0.070
# **Volume**: 11.113 Å³ per atom
# **Energy relative to the elements, uncorrected**: 0.352 eV per atom
# **Total DFT energy (no corrections)**: -88.37 eV per cell
# **E above lowest polymorph**: 5.68 kcal/mol of atoms

=====

Record 18
# SmEr6Al, relaxed, DFT PBE
data_SmEr6Al
_cell_length_a 9.1294
_cell_length_b 9.1294
_cell_length_c 9.8943
_cell_angle_alpha 90.00
_cell_angle_beta 90.00
_cell_angle_gamma 120.00
_space_group_name_H-M_alt 'R -3'
_space_group_IT_number 148
_space_group_name_Hall '-R 3'
loop_
_atom_site_label
_atom_site_type_symbol
_atom_site_fract_x
_atom_site_fract_y
_atom_site_fract_z
Sm1 Sm 0.0000 0.0000 0.0000
Er1 Er 0.0235 0.2528 0.7145
Al1 Al 0.0000 0.0000 0.5000
# **Volume**: 29.759 Å³ per atom
# **Total DFT energy (no corrections)**: -106.42 eV per cell
# **Calculated formation energy**: 0.046 eV/atom

=====

Record 19
# FeSiSe2Br, relaxed, DFT PBE
data_FeSiSe2Br
_cell_length_a 4.734
_cell_length_b 4.734
_cell_length_c 5.025
_cell_angle_alpha 90.00
_cell_angle_beta 90.00
_cell_angle_gamma 90.00
_space_group_name_H-M_alt 'P 4/m m m'
_space_group_IT_number 123
_space_group_name_Hall '-P 4 2'
loop_
_atom_site_label
_atom_site_type_symbol
_atom_site_fract_x
_atom_site_fract_y
_atom_site_fract_z
Fe1 Fe 0.000 0.000 0.000
Si1 Si 0.500 0.500 0.500
Se1 Se 0.000 0.500 0.000
Br1 Br 0.000 0.000 0.500
# **Volume**: 22.518 Å³ per atom
# **Energy relative to the elements, uncorrected**: 0.465 eV per atom
# **Total DFT energy (no corrections)**: -20.20 eV per cell
# **E above lowest polymorph**: 0.00 kcal/mol of atoms

=====

Record 20
# SrMnRu, relaxed, DFT PBE
data_SrMnRu
_cell_length_a 3.9584
_cell_length_b 3.9584
_cell_length_c 5.0809
_cell_angle_alpha 90.00
_cell_angle_beta 90.00
_cell_angle_gamma 120.00
_space_group_name_H-M_alt 'P 3 m 1'
_space_group_IT_number 156
_space_group_name_Hall 'P 3 -2"'
loop_
_atom_site_label
_atom_site_type_symbol
_atom_site_fract_x
_atom_site_fract_y
_atom_site_fract_z
Sr1 Sr 0.0000 0.0000 0.0000
Mn1 Mn 0.3333 0.6667 0.4911
Ru1 Ru 0.6667 0.3333 0.5103
# **Volume**: 22.982 Å³ per atom
# **Total DFT energy (no corrections)**: -18.93 eV per cell
# **E above lowest polymorph**: 0.00 kcal/mol of atoms
# **Calculated formation energy**: 0.400 eV/atom